No. 1
DFT (PBE-GGA) results for crystalline AcGdZnAu at its relaxed geometry.

It has space group F-43m (No. 216), with a = 7.5620 Å, b = 7.5620 Å, c = 7.5620 Å, α = 90.00°, β = 90.00° and γ = 90.00°. The inequivalent atoms are Ac at (0.0000, 0.0000, 0.0000), Gd at (0.0000, 0.0000, 0.5000), Zn at (0.2500, 0.2500, 0.2500) and Au at (0.2500, 0.2500, 0.7500).

As for the energy of formation: -0.503 eV per atom. Its density of states at the Fermi level is 3.6 states/eV/f.u. Its total energy is -99.00 eV for the cell shown. As for the total magnetization: 7.1 μB/f.u. The calculation puts the mass density at 9.933 g cm⁻³.



No. 2
DFT (PBE-GGA) results for crystalline Nd4PRuBr2 at its relaxed geometry.

It has space group P2/m (No. 10), with a = 7.4584 Å, b = 4.0838 Å, c = 7.8291 Å, α = 90.00°, β = 105.73° and γ = 90.00°. The inequivalent atoms are Nd at (0.2257, 0.0000, 0.1993), Nd at (0.2564, 0.5000, 0.8073), P at (0.5000, 0.0000, 0.0000), Ru at (0.0000, 0.5000, 0.0000), Br at (0.0000, 0.0000, 0.5000) and Br at (0.5000, 0.5000, 0.5000).

Its density of states at the Fermi level is 5.4 states/eV/f.u. Its total energy is -45.98 eV for the cell shown. As for the total magnetization: 0.0 μB/f.u. The calculation puts the formation energy from raw total energies at -1.110 eV/atom. The calculation puts the mass density at 6.285 g cm⁻³.



No. 3
DFT (PBE-GGA) results for crystalline In2WBr at its relaxed geometry.

It has space group Pmmm (No. 47), with a = 3.0029 Å, b = 3.5191 Å, c = 8.6725 Å, α = 90.00°, β = 90.00° and γ = 90.00°. The inequivalent atoms are In at (0.0000, 0.0000, 0.2023), W at (0.5000, 0.5000, 0.0000) and Br at (0.5000, 0.5000, 0.5000).

Its density of states at the Fermi level is 1.9 states/eV/f.u. Its total energy is -18.11 eV for the cell shown. The energy relative to the lowest polymorph listed for this composition is 140 meV/atom. As for the total magnetization: 0.0 μB/f.u. The calculation puts the formation energy from raw total energies at 0.499 eV/atom. The calculation puts the mass density at 8.939 g cm⁻³.



No. 4
DFT (PBE-GGA) results for crystalline ZnHg2Br at its relaxed geometry.

It has space group Cmmm (No. 65), with a = 5.9845 Å, b = 8.7663 Å, c = 4.1800 Å, α = 90.00°, β = 90.00° and γ = 90.00°. The inequivalent atoms are Zn at (0.0000, 0.0000, 0.0000), Hg at (0.0000, 0.2083, 0.5000) and Br at (0.0000, 0.5000, 0.0000).

Its density of states at the Fermi level is 1.0 states/eV/f.u. Its total energy is -8.17 eV for the cell shown. The energy relative to the lowest polymorph listed for this composition is 51 meV/atom. As for the total magnetization: 0.0 μB/f.u. The calculation puts the formation energy from raw total energies at -0.134 eV/atom. The calculation puts the mass density at 8.276 g cm⁻³.



No. 5
DFT (PBE-GGA) results for crystalline Tb2Pr6Y3 at its relaxed geometry.

It has space group P-1 (No. 2), with a = 6.3179 Å, b = 8.1310 Å, c = 8.1682 Å, α = 107.35°, β = 97.28° and γ = 104.92°. The inequivalent atoms are Tb at (0.2283, 0.4111, 0.0459), Pr at (0.0467, 0.6814, 0.4072), Pr at (0.1354, 0.0463, 0.2283), Pr at (0.3196, 0.7702, 0.8653), Y at (0.4092, 0.1384, 0.6831) and Y at (0.5000, 0.5000, 0.5000).

As for the energy of formation: 0.014 eV per atom. Its density of states at the Fermi level is 15.0 states/eV/f.u. Its total energy is -57.17 eV for the cell shown. The energy relative to the lowest polymorph listed for this composition is 0 meV/atom. As for the total magnetization: 0.0 μB/f.u. The calculation puts the mass density at 6.291 g cm⁻³.



No. 6
DFT (PBE-GGA) results for crystalline PuFeCoSn at its relaxed geometry.

It has space group F-43m (No. 216), with a = 6.4978 Å, b = 6.4978 Å, c = 6.4978 Å, α = 90.00°, β = 90.00° and γ = 90.00°. The inequivalent atoms are Pu at (0.0000, 0.0000, 0.0000), Fe at (0.2500, 0.2500, 0.7500), Co at (0.2500, 0.2500, 0.2500) and Sn at (0.0000, 0.0000, 0.5000).

As for the energy of formation: -0.106 eV per atom. Its density of states at the Fermi level is 6.0 states/eV/f.u. Its total energy is -137.32 eV for the cell shown. As for the total magnetization: 1.4 μB/f.u. The calculation puts the mass density at 11.560 g cm⁻³.



No. 7
DFT (PBE-GGA) results for crystalline NaTi2IrO8 at its relaxed geometry.

It has space group P2/m (No. 10), with a = 4.6465 Å, b = 6.2544 Å, c = 4.7308 Å, α = 90.00°, β = 91.72° and γ = 90.00°. The inequivalent atoms are Na at (0.0000, 0.0000, 0.0000), Ti at (0.5000, 0.2301, 0.5000), Ir at (0.0000, 0.5000, 0.0000), O at (0.2186, 0.2895, 0.2021), O at (0.2828, 0.5000, 0.7036) and O at (0.3114, 0.0000, 0.6683).

Its density of states at the Fermi level is 5.7 states/eV/f.u. Its total energy is -87.85 eV for the cell shown. As for the total magnetization: 1.0 μB/f.u. The calculation puts the formation energy from raw total energies at -1.851 eV/atom. The calculation puts the mass density at 5.304 g cm⁻³.



No. 8
DFT (PBE-GGA) results for crystalline Sm6Sn2Hg at its relaxed geometry.

It has space group P-62m (No. 189), with a = 8.4933 Å, b = 8.4933 Å, c = 4.4335 Å, α = 90.00°, β = 90.00° and γ = 120.00°. The inequivalent atoms are Sm at (0.0000, 0.4089, 0.0000), Sm at (0.0000, 0.7424, 0.5000), Sn at (0.3333, 0.6667, 0.5000) and Hg at (0.0000, 0.0000, 0.0000).

As for the energy of formation: -0.474 eV per atom. Its density of states at the Fermi level is 9.1 states/eV/f.u. Its total energy is -40.89 eV for the cell shown. As for the total magnetization: 4.1 μB/f.u. The calculation puts the mass density at 8.035 g cm⁻³.



No. 9
DFT (PBE-GGA) results for crystalline FeCuAu2 at its relaxed geometry.

It has space group P4/mmm (No. 123), with a = 4.6848 Å, b = 4.6848 Å, c = 2.7965 Å, α = 90.00°, β = 90.00° and γ = 90.00°. The inequivalent atoms are Fe at (0.0000, 0.0000, 0.0000), Cu at (0.5000, 0.5000, 0.0000) and Au at (0.0000, 0.5000, 0.5000).

As for the energy of formation: 0.095 eV per atom. Its density of states at the Fermi level is 2.1 states/eV/f.u. Its total energy is -18.73 eV for the cell shown. As for the total magnetization: 2.9 μB/f.u. The calculation puts the mass density at 13.888 g cm⁻³.



No. 10
DFT (PBE-GGA) results for crystalline CoW at its relaxed geometry.

It has space group C2/m (No. 12), with a = 9.2673 Å, b = 2.6504 Å, c = 4.5087 Å, α = 90.00°, β = 107.15° and γ = 90.00°. The inequivalent atoms are Co at (0.1458, 0.0000, 0.3390) and W at (0.1082, 0.5000, 0.8155).

As for the energy of formation: 0.124 eV per atom. Its density of states at the Fermi level is 2.3 states/eV/f.u. Its total energy is -79.24 eV for the cell shown. As for the total magnetization: 0.0 μB/f.u. The calculation puts the mass density at 15.238 g cm⁻³.



No. 11
DFT (PBE-GGA) results for crystalline TbCe3Pd12 at its relaxed geometry.

It has space group P4/mmm (No. 123), with a = 4.1501 Å, b = 4.1501 Å, c = 16.5820 Å, α = 90.00°, β = 90.00° and γ = 90.00°. The inequivalent atoms are Tb at (0.0000, 0.0000, 0.0000), Ce at (0.0000, 0.0000, 0.2476), Ce at (0.0000, 0.0000, 0.5000), Pd at (0.0000, 0.5000, 0.1256), Pd at (0.0000, 0.5000, 0.3746), Pd at (0.5000, 0.5000, 0.0000), Pd at (0.5000, 0.5000, 0.2499) and Pd at (0.5000, 0.5000, 0.5000).

As for the energy of formation: -0.847 eV per atom. Its density of states at the Fermi level is 12.3 states/eV/f.u. Its total energy is -98.30 eV for the cell shown. As for the total magnetization: 1.0 μB/f.u. The calculation puts the mass density at 10.793 g cm⁻³.



No. 12
DFT (PBE-GGA) results for crystalline Sm3Hg2Au3 at its relaxed geometry.

It has space group P6_3/mcm (No. 193), with a = 8.8780 Å, b = 8.8780 Å, c = 6.0500 Å, α = 90.00°, β = 90.00° and γ = 120.00°. The inequivalent atoms are Sm at (0.0000, 0.2992, 0.2500), Hg at (0.3333, 0.6667, 0.0000) and Au at (0.0000, 0.3594, 0.7500).

As for the energy of formation: -0.612 eV per atom. Its density of states at the Fermi level is 6.1 states/eV/f.u. Its total energy is -58.97 eV for the cell shown. The energy relative to the lowest polymorph listed for this composition is 16 meV/atom. As for the total magnetization: 0.0 μB/f.u. The calculation puts the mass density at 11.606 g cm⁻³.



No. 13
DFT (PBE-GGA) results for crystalline Ac3SnP at its relaxed geometry.

It has space group Pnma (No. 62), with a = 9.3413 Å, b = 4.6192 Å, c = 16.5882 Å, α = 90.00°, β = 90.00° and γ = 90.00°. The inequivalent atoms are Ac at (0.0172, 0.2500, 0.1066), Ac at (0.1577, 0.2500, 0.5287), Ac at (0.1730, 0.7500, 0.2894), Sn at (0.1082, 0.7500, 0.6861) and P at (0.1827, 0.2500, 0.9476).

As for the energy of formation: -0.874 eV per atom. Its density of states at the Fermi level is 4.1 states/eV/f.u. Its total energy is -104.42 eV for the cell shown. The energy relative to the lowest polymorph listed for this composition is 0 meV/atom. As for the total magnetization: 0.5 μB/f.u. The calculation puts the mass density at 7.708 g cm⁻³.



No. 14
DFT (PBE-GGA) results for crystalline Pa2ReSi6Ru at its relaxed geometry.

It has space group Fm-3m (No. 225), with a = 9.1840 Å, b = 9.1840 Å, c = 9.1840 Å, α = 90.00°, β = 90.00° and γ = 90.00°. The inequivalent atoms are Pa at (0.2500, 0.2500, 0.2500), Re at (0.0000, 0.0000, 0.0000), Si at (0.0000, 0.0000, 0.2526) and Ru at (0.0000, 0.0000, 0.5000).

Its density of states at the Fermi level is 12.9 states/eV/f.u. Its total energy is -285.34 eV for the cell shown. As for the total magnetization: 0.0 μB/f.u. The calculation puts the formation energy from raw total energies at 0.192 eV/atom. The calculation puts the mass density at 7.870 g cm⁻³.



No. 15
DFT (PBE-GGA) results for crystalline FeIrPt at its relaxed geometry.

It has space group Imm2 (No. 44), with a = 2.7198 Å, b = 3.7759 Å, c = 8.2759 Å, α = 90.00°, β = 90.00° and γ = 90.00°. The inequivalent atoms are Fe at (0.0000, 0.0000, 0.0000), Ir at (0.0000, 0.0000, 0.6551) and Pt at (0.0000, 0.0000, 0.3304).

As for the energy of formation: -0.043 eV per atom. Its density of states at the Fermi level is 4.0 states/eV/f.u. Its total energy is -46.99 eV for the cell shown. The energy relative to the lowest polymorph listed for this composition is 37 meV/atom. As for the total magnetization: 2.7 μB/f.u. The calculation puts the mass density at 17.316 g cm⁻³.



No. 16
DFT (PBE-GGA) results for crystalline TbMnGe2Rh at its relaxed geometry.

It has space group I-4m2 (No. 119), with a = 4.0661 Å, b = 4.0661 Å, c = 10.6610 Å, α = 90.00°, β = 90.00° and γ = 90.00°. The inequivalent atoms are Tb at (0.0000, 0.0000, 0.0000), Mn at (0.0000, 0.5000, 0.2500), Ge at (0.0000, 0.0000, 0.3831) and Rh at (0.0000, 0.5000, 0.7500).

As for the energy of formation: -0.679 eV per atom. Its density of states at the Fermi level is 2.7 states/eV/f.u. Its total energy is -67.57 eV for the cell shown. As for the total magnetization: 3.2 μB/f.u. The calculation puts the mass density at 8.706 g cm⁻³.



No. 17
DFT (PBE-GGA) results for crystalline PPb at its relaxed geometry.

It has space group P6_3/mmc (No. 194), with a = 4.9226 Å, b = 4.9226 Å, c = 4.8368 Å, α = 90.00°, β = 90.00° and γ = 120.00°. The inequivalent atoms are P at (0.0000, 0.0000, 0.0000) and Pb at (0.3333, 0.6667, 0.2500).

As for the energy of formation: 0.229 eV per atom. Its density of states at the Fermi level is 0.6 states/eV/f.u. Its total energy is -17.32 eV for the cell shown. As for the total magnetization: 0.0 μB/f.u. The calculation puts the mass density at 7.793 g cm⁻³.